# 1
# Dy2Tc2Pb | the Open Quantum Materials Database | PBE-GGA | relaxed
data_Dy2Tc2Pb
_cell_length_a 8.543
_cell_length_b 8.538
_cell_length_c 3.692
_cell_angle_alpha 77.59
_cell_angle_beta 77.44
_cell_angle_gamma 24.97
_symmetry_space_group_name_H-M 'P 1'
_symmetry_Int_Tables_number 1
_symmetry_space_group_name_Hall 'P 1'
loop_
_atom_site_label
_atom_site_fract_x
_atom_site_fract_y
_atom_site_fract_z
Dy1 0.888 0.888 0.112
Dy2 0.112 0.112 0.888
Pb1 0.500 0.500 0.500
Tc1 0.250 0.250 0.250
Tc2 0.750 0.750 0.750
# Space group   Fmmm, No. 69
# Raw total energy   -6.60 eV per atom

---

# 2
# DyTcPb | the Open Quantum Materials Database | PBE-GGA | relaxed
data_DyTcPb
_cell_length_a 4.824
_cell_length_b 4.824
_cell_length_c 4.824
_cell_angle_alpha 60.00
_cell_angle_beta 60.00
_cell_angle_gamma 60.00
_symmetry_space_group_name_H-M 'P 1'
_symmetry_Int_Tables_number 1
_symmetry_space_group_name_Hall 'P 1'
loop_
_atom_site_label
_atom_site_fract_x
_atom_site_fract_y
_atom_site_fract_z
Dy1 0.000 0.000 0.000
Pb1 0.250 0.250 0.250
Tc1 0.750 0.750 0.750
# Excess energy over the best structure of this formula in the dataset   0.404 eV/atom
# Space group   F-43m, No. 216

---

# 3
# Dy3Te2Pb | the Open Quantum Materials Database | PBE-GGA | relaxed
data_Dy3Te2Pb
_cell_length_a 7.588
_cell_length_b 7.588
_cell_length_c 7.588
_cell_angle_alpha 146.16
_cell_angle_beta 131.82
_cell_angle_gamma 60.17
_symmetry_space_group_name_H-M 'P 1'
_symmetry_Int_Tables_number 1
_symmetry_space_group_name_Hall 'P 1'
loop_
_atom_site_label
_atom_site_fract_x
_atom_site_fract_y
_atom_site_fract_z
Dy1 0.500 0.000 0.500
Dy2 0.838 0.338 0.500
Dy3 0.162 0.662 0.500
Pb1 0.000 0.000 0.000
Te1 0.332 0.332 0.000
Te2 0.668 0.668 0.000
# Space group   Immm, No. 71
# Raw total energy   -5.05 eV per atom

---

# 4
# DyZnTe3Pb | the Open Quantum Materials Database | PBE-GGA | relaxed
data_DyZnTe3Pb
_cell_length_a 7.693
_cell_length_b 7.693
_cell_length_c 11.251
_cell_angle_alpha 90.00
_cell_angle_beta 90.00
_cell_angle_gamma 147.03
_symmetry_space_group_name_H-M 'P 1'
_symmetry_Int_Tables_number 1
_symmetry_space_group_name_Hall 'P 1'
loop_
_atom_site_label
_atom_site_fract_x
_atom_site_fract_y
_atom_site_fract_z
Dy1 0.500 0.500 0.000
Dy2 0.500 0.500 0.500
Pb1 0.285 0.715 0.250
Pb2 0.715 0.285 0.750
Te1 0.857 0.143 0.055
Te2 0.590 0.410 0.250
Te3 0.857 0.143 0.445
Te4 0.143 0.857 0.555
Te5 0.410 0.590 0.750
Te6 0.143 0.857 0.945
Zn1 0.973 0.027 0.250
Zn2 0.027 0.973 0.750
# Space group   Cmcm, No. 63
# Raw total energy   -3.84 eV per atom

---

# 5
# DyTlPb | the Open Quantum Materials Database | PBE-GGA | relaxed
data_DyTlPb
_cell_length_a 5.153
_cell_length_b 5.153
_cell_length_c 5.153
_cell_angle_alpha 60.00
_cell_angle_beta 60.00
_cell_angle_gamma 60.00
_symmetry_space_group_name_H-M 'P 1'
_symmetry_Int_Tables_number 1
_symmetry_space_group_name_Hall 'P 1'
loop_
_atom_site_label
_atom_site_fract_x
_atom_site_fract_y
_atom_site_fract_z
Dy1 0.000 0.000 0.000
Pb1 0.250 0.250 0.250
Tl1 0.750 0.750 0.750
# Excess energy over the best structure of this formula in the dataset   0.000 eV/atom
# Space group   F-43m, No. 216

---

# 6
# DyTlPb | the Open Quantum Materials Database | PBE-GGA | relaxed
data_DyTlPb
_cell_length_a 5.147
_cell_length_b 5.147
_cell_length_c 5.147
_cell_angle_alpha 60.00
_cell_angle_beta 60.00
_cell_angle_gamma 60.00
_symmetry_space_group_name_H-M 'P 1'
_symmetry_Int_Tables_number 1
_symmetry_space_group_name_Hall 'P 1'
loop_
_atom_site_label
_atom_site_fract_x
_atom_site_fract_y
_atom_site_fract_z
Dy1 0.250 0.250 0.250
Pb1 0.750 0.750 0.750
Tl1 0.000 0.000 0.000
# Excess energy over the best structure of this formula in the dataset   0.118 eV/atom
# Space group   F-43m, No. 216

---

# 7
# DyPbW | the Open Quantum Materials Database | PBE-GGA | relaxed
data_DyPbW
_cell_length_a 4.801
_cell_length_b 4.801
_cell_length_c 4.801
_cell_angle_alpha 60.00
_cell_angle_beta 60.00
_cell_angle_gamma 60.00
_symmetry_space_group_name_H-M 'P 1'
_symmetry_Int_Tables_number 1
_symmetry_space_group_name_Hall 'P 1'
loop_
_atom_site_label
_atom_site_fract_x
_atom_site_fract_y
_atom_site_fract_z
Dy1 0.250 0.250 0.250
Pb1 0.000 0.000 0.000
W1 0.750 0.750 0.750
# Space group   F-43m, No. 216
# Raw total energy   -6.15 eV per atom

---

# 8
# DyYPb | the Open Quantum Materials Database | PBE-GGA | relaxed
data_DyYPb
_cell_length_a 5.168
_cell_length_b 5.168
_cell_length_c 5.168
_cell_angle_alpha 60.00
_cell_angle_beta 60.00
_cell_angle_gamma 60.00
_symmetry_space_group_name_H-M 'P 1'
_symmetry_Int_Tables_number 1
_symmetry_space_group_name_Hall 'P 1'
loop_
_atom_site_label
_atom_site_fract_x
_atom_site_fract_y
_atom_site_fract_z
Dy1 0.250 0.250 0.250
Pb1 0.000 0.000 0.000
Y1 0.750 0.750 0.750
# Space group   F-43m, No. 216
# Raw total energy   -5.14 eV per atom

---

# 9
# Dy3Pd5 | the Open Quantum Materials Database | PBE-GGA | relaxed
data_Dy3Pd5
_cell_length_a 5.809
_cell_length_b 5.809
_cell_length_c 9.604
_cell_angle_alpha 90.00
_cell_angle_beta 90.00
_cell_angle_gamma 75.59
_symmetry_space_group_name_H-M 'P 1'
_symmetry_Int_Tables_number 1
_symmetry_space_group_name_Hall 'P 1'
loop_
_atom_site_label
_atom_site_fract_x
_atom_site_fract_y
_atom_site_fract_z
Dy1 0.297 0.297 0.000
Dy2 0.703 0.703 0.000
Dy3 0.885 0.115 0.250
Dy4 0.297 0.297 0.500
Dy5 0.703 0.703 0.500
Dy6 0.115 0.885 0.750
Pd1 0.189 0.811 0.046
Pd2 0.446 0.003 0.250
Pd3 0.486 0.514 0.250
Pd4 0.997 0.554 0.250
Pd5 0.189 0.811 0.454
Pd6 0.811 0.189 0.546
Pd7 0.003 0.446 0.750
Pd8 0.514 0.486 0.750
Pd9 0.554 0.997 0.750
Pd10 0.811 0.189 0.954
# Space group   Cmcm, No. 63
# Raw total energy   -5.90 eV per atom

---

# 10
# DyPd3 | the Open Quantum Materials Database | PBE-GGA | relaxed
data_DyPd3
_cell_length_a 4.109
_cell_length_b 4.109
_cell_length_c 4.109
_cell_angle_alpha 90.00
_cell_angle_beta 90.00
_cell_angle_gamma 90.00
_symmetry_space_group_name_H-M 'P 1'
_symmetry_Int_Tables_number 1
_symmetry_space_group_name_Hall 'P 1'
loop_
_atom_site_label
_atom_site_fract_x
_atom_site_fract_y
_atom_site_fract_z
Dy1 0.000 0.000 0.000
Pd1 0.500 0.500 0.000
Pd2 0.500 0.000 0.500
Pd3 0.000 0.500 0.500
# Space group   Pm-3m, No. 221
# Raw total energy   -5.93 eV per atom

---

# 11
# PmDyPd6 | the Open Quantum Materials Database | PBE-GGA | relaxed
data_PmDyPd6
_cell_length_a 4.144
_cell_length_b 4.144
_cell_length_c 8.270
_cell_angle_alpha 90.00
_cell_angle_beta 90.00
_cell_angle_gamma 90.00
_symmetry_space_group_name_H-M 'P 1'
_symmetry_Int_Tables_number 1
_symmetry_space_group_name_Hall 'P 1'
loop_
_atom_site_label
_atom_site_fract_x
_atom_site_fract_y
_atom_site_fract_z
Dy1 0.000 0.000 0.000
Pd1 0.500 0.500 0.000
Pd2 0.500 0.000 0.245
Pd3 0.000 0.500 0.245
Pd4 0.500 0.500 0.500
Pd5 0.500 0.000 0.755
Pd6 0.000 0.500 0.755
Pm1 0.000 0.000 0.500
# Space group   P4/mmm, No. 123
# Raw total energy   -5.90 eV per atom

---

# 12
# PrDyPd | the Open Quantum Materials Database | PBE-GGA | relaxed
data_PrDyPd
_cell_length_a 4.966
_cell_length_b 4.966
_cell_length_c 4.966
_cell_angle_alpha 60.00
_cell_angle_beta 60.00
_cell_angle_gamma 60.00
_symmetry_space_group_name_H-M 'P 1'
_symmetry_Int_Tables_number 1
_symmetry_space_group_name_Hall 'P 1'
loop_
_atom_site_label
_atom_site_fract_x
_atom_site_fract_y
_atom_site_fract_z
Dy1 0.250 0.250 0.250
Pd1 0.000 0.000 0.000
Pr1 0.750 0.750 0.750
# Excess energy over the best structure of this formula in the dataset   0.000 eV/atom
# Space group   F-43m, No. 216

---

# 13
# Pr2DySn3PdPt2 | the Open Quantum Materials Database | PBE-GGA | relaxed
data_Pr2DySn3PdPt2
_cell_length_a 4.117
_cell_length_b 7.639
_cell_length_c 7.639
_cell_angle_alpha 119.85
_cell_angle_beta 90.00
_cell_angle_gamma 90.00
_symmetry_space_group_name_H-M 'P 1'
_symmetry_Int_Tables_number 1
_symmetry_space_group_name_Hall 'P 1'
loop_
_atom_site_label
_atom_site_fract_x
_atom_site_fract_y
_atom_site_fract_z
Dy1 0.000 0.410 0.410
Pd1 0.000 0.006 0.006
Pr1 0.000 0.000 0.588
Pr2 0.000 0.588 0.000
Pt1 0.500 0.658 0.336
Pt2 0.500 0.336 0.658
Sn1 0.500 0.254 0.003
Sn2 0.500 0.003 0.254
Sn3 0.500 0.746 0.746
# Space group   Amm2, No. 38
# Raw total energy   -5.84 eV per atom

---

# 14
# PrDy2Sn3PdPt2 | the Open Quantum Materials Database | PBE-GGA | relaxed
data_PrDy2Sn3PdPt2
_cell_length_a 4.070
_cell_length_b 7.593
_cell_length_c 7.593
_cell_angle_alpha 120.38
_cell_angle_beta 90.00
_cell_angle_gamma 90.00
_symmetry_space_group_name_H-M 'P 1'
_symmetry_Int_Tables_number 1
_symmetry_space_group_name_Hall 'P 1'
loop_
_atom_site_label
_atom_site_fract_x
_atom_site_fract_y
_atom_site_fract_z
Dy1 0.000 0.591 0.001
Dy2 0.000 0.001 0.591
Pd1 0.000 0.994 0.994
Pr1 0.000 0.412 0.412
Pt1 0.500 0.674 0.331
Pt2 0.500 0.331 0.674
Sn1 0.500 0.998 0.254
Sn2 0.500 0.746 0.746
Sn3 0.500 0.254 0.998
# Space group   Amm2, No. 38
# Raw total energy   -5.84 eV per atom

---

# 15
# PrDySn2Pd4 | the Open Quantum Materials Database | PBE-GGA | relaxed
data_PrDySn2Pd4
_cell_length_a 4.620
_cell_length_b 4.620
_cell_length_c 9.116
_cell_angle_alpha 90.00
_cell_angle_beta 90.00
_cell_angle_gamma 120.00
_symmetry_space_group_name_H-M 'P 1'
_symmetry_Int_Tables_number 1
_symmetry_space_group_name_Hall 'P 1'
loop_
_atom_site_label
_atom_site_fract_x
_atom_site_fract_y
_atom_site_fract_z
Dy1 0.000 0.000 0.500
Pd1 0.000 0.000 0.173
Pd2 0.333 0.667 0.339
Pd3 0.333 0.667 0.661
Pd4 0.000 0.000 0.827
Pr1 0.333 0.667 0.000
Sn1 0.667 0.333 0.259
Sn2 0.667 0.333 0.741
# Space group   P-6m2, No. 187
# Raw total energy   -5.62 eV per atom

---

# 16
# Pr2DySn3Pd3 | the Open Quantum Materials Database | PBE-GGA | relaxed
data_Pr2DySn3Pd3
_cell_length_a 4.114
_cell_length_b 7.629
_cell_length_c 7.629
_cell_angle_alpha 119.85
_cell_angle_beta 90.00
_cell_angle_gamma 90.00
_symmetry_space_group_name_H-M 'P 1'
_symmetry_Int_Tables_number 1
_symmetry_space_group_name_Hall 'P 1'
loop_
_atom_site_label
_atom_site_fract_x
_atom_site_fract_y
_atom_site_fract_z
Dy1 0.000 0.409 0.409
Pd1 0.000 0.006 0.006
Pd2 0.500 0.658 0.336
Pd3 0.500 0.336 0.658
Pr1 0.000 0.999 0.588
Pr2 0.000 0.588 0.999
Sn1 0.500 0.254 0.003
Sn2 0.500 0.003 0.254
Sn3 0.500 0.746 0.746
# Space group   Amm2, No. 38
# Raw total energy   -5.55 eV per atom

---

# 17
# Dy2PdPt | the Open Quantum Materials Database | PBE-GGA | relaxed
data_Dy2PdPt
_cell_length_a 5.640
_cell_length_b 4.451
_cell_length_c 7.071
_cell_angle_alpha 90.00
_cell_angle_beta 90.04
_cell_angle_gamma 90.00
_symmetry_space_group_name_H-M 'P 1'
_symmetry_Int_Tables_number 1
_symmetry_space_group_name_Hall 'P 1'
loop_
_atom_site_label
_atom_site_fract_x
_atom_site_fract_y
_atom_site_fract_z
Dy1 0.858 0.250 0.177
Dy2 0.360 0.750 0.315
Dy3 0.640 0.250 0.685
Dy4 0.142 0.750 0.823
Pd1 0.849 0.750 0.457
Pd2 0.151 0.250 0.543
Pt1 0.342 0.250 0.046
Pt2 0.658 0.750 0.954
# Space group   P2_1/m, No. 11
# Raw total energy   -6.22 eV per atom

---

# 18
# Dy2Pd5Pt | the Open Quantum Materials Database | PBE-GGA | relaxed
data_Dy2Pd5Pt
_cell_length_a 5.807
_cell_length_b 11.618
_cell_length_c 4.119
_cell_angle_alpha 90.00
_cell_angle_beta 90.00
_cell_angle_gamma 90.00
_symmetry_space_group_name_H-M 'P 1'
_symmetry_Int_Tables_number 1
_symmetry_space_group_name_Hall 'P 1'
loop_
_atom_site_label
_atom_site_fract_x
_atom_site_fract_y
_atom_site_fract_z
Dy1 0.249 0.125 0.500
Dy2 0.749 0.375 0.500
Dy3 0.251 0.625 0.500
Dy4 0.751 0.875 0.500
Pd1 0.000 0.000 0.000
Pd2 0.498 0.250 0.000
Pd3 0.998 0.250 0.000
Pd4 0.500 0.500 0.000
Pd5 0.002 0.750 0.000
Pd6 0.502 0.750 0.000
Pd7 0.748 0.125 0.500
Pd8 0.248 0.375 0.500
Pd9 0.752 0.625 0.500
Pd10 0.252 0.875 0.500
Pt1 0.500 0.000 0.000
Pt2 0.000 0.500 0.000
# Space group   Pbam, No. 55
# Raw total energy   -6.06 eV per atom

---

# 19
# Dy2PdPt | the Open Quantum Materials Database | PBE-GGA | relaxed
data_Dy2PdPt
_cell_length_a 4.217
_cell_length_b 5.701
_cell_length_c 7.345
_cell_angle_alpha 90.00
_cell_angle_beta 90.00
_cell_angle_gamma 90.00
_symmetry_space_group_name_H-M 'P 1'
_symmetry_Int_Tables_number 1
_symmetry_space_group_name_Hall 'P 1'
loop_
_atom_site_label
_atom_site_fract_x
_atom_site_fract_y
_atom_site_fract_z
Dy1 0.500 0.387 0.179
Dy2 0.000 0.894 0.320
Dy3 0.500 0.613 0.679
Dy4 0.000 0.106 0.820
Pd1 0.000 0.408 0.455
Pd2 0.000 0.592 0.955
Pt1 0.500 0.904 0.046
Pt2 0.500 0.096 0.546
# Space group   Pmc2_1, No. 26
# Raw total energy   -6.21 eV per atom

---

# 20
# DyPdPt | the Open Quantum Materials Database | PBE-GGA | relaxed
data_DyPdPt
_cell_length_a 4.569
_cell_length_b 4.569
_cell_length_c 4.569
_cell_angle_alpha 60.00
_cell_angle_beta 60.00
_cell_angle_gamma 60.00
_symmetry_space_group_name_H-M 'P 1'
_symmetry_Int_Tables_number 1
_symmetry_space_group_name_Hall 'P 1'
loop_
_atom_site_label
_atom_site_fract_x
_atom_site_fract_y
_atom_site_fract_z
Dy1 0.250 0.250 0.250
Pd1 0.750 0.750 0.750
Pt1 0.000 0.000 0.000
# Excess energy over the best structure of this formula in the dataset   0.000 eV/atom
# Space group   F-43m, No. 216

---

| no. | size of the total moment (Bohr magnetons per cell) |
| --- | --- |
| 1 | 0.00 |
| 2 | 0.04 |
| 3 | 0.00 |
| 4 | 0.01 |
| 5 | 0.00 |
| 6 | 0.01 |
| 7 | 0.50 |
| 8 | 0.01 |
| 9 | 0.01 |
| 10 | 0.00 |
| 11 | 0.00 |
| 12 | 0.00 |
| 13 | 0.00 |
| 14 | 0.00 |
| 15 | 0.01 |
| 16 | 0.00 |
| 17 | 0.02 |
| 18 | 0.00 |
| 19 | 0.01 |
| 20 | 0.00 |